The following is a DFT calculation (PBE) of an optimized crystal structure of NbZnH.

Magnetization   0.0 μB/f.u.
Polymorph energy (0 for the lowest one)   0.000 eV/atom
Crystal system   orthorhombic
Space-group type   Cmcm
Energy   -5.07 eV per atom

Lattice parameters (Å, degrees): 5.466 5.466 3.802 90.00 90.00 142.51
Fractional coordinates of all 6 atoms:
Nb 0.164 0.836 0.750
Nb 0.836 0.164 0.250
Zn 0.433 0.567 0.750
Zn 0.567 0.433 0.250
H 0.239 0.761 0.250
H 0.761 0.239 0.750